Arrangement a

A relaxed B5C7 crystal, computed with PBE.

The structure belongs to space group Cm (No. 8); the cell edges are 4.488, 7.918 and 4.644 Å and the angles 90.00°, 108.58° and 90.00°. The inequivalent atoms are B at (0.000, 0.000, 0.000), B at (0.018, 0.306, 0.996), B at (0.058, 0.500, 0.556), B at (0.118, 0.500, 0.206), C at (0.050, 0.166, 0.523), C at (0.404, 0.343, 0.172), C at (0.413, 0.175, 0.637) and C at (0.450, 0.500, 0.648).

The calculation puts the density of states at the Fermi level at 1.2 states/eV/f.u.

***

Arrangement b

A relaxed B5C7 crystal, computed with PBE.

The structure belongs to space group Pmm2 (No. 25); the cell edges are 2.460, 7.816 and 4.094 Å and the angles 90.00°, 90.00° and 90.00°. The inequivalent atoms are B at (0.000, 0.000, 0.000), B at (0.000, 0.328, 0.965), B at (0.500, 0.334, 0.292), C at (0.000, 0.163, 0.729), C at (0.000, 0.500, 0.728), C at (0.500, 0.000, 0.287), C at (0.500, 0.158, 0.514) and C at (0.500, 0.500, 0.522).

The calculation puts the density of states at the Fermi level at 1.7 states/eV/f.u.

***

Which structure wins on stability? arrangement b wins.